[1]
First-principles (PBE) data for an optimized crystal structure of CsH2RuO, as listed in Alexandria.

## Properties
Crystal system   tetragonal
Density   4.2 g/cm³
Volume   19.92 Å³/atom
DOS at the Fermi energy   0.686 states/eV per atom
E_tot   -18.6 eV/f.u.

Unit cell a=5.2623 b=5.2623 c=3.5971 alpha=90.00 beta=90.00 gamma=90.00
Fractional coordinates of all 5 atoms:
Cs  0.0000  0.0000  0.0000
H  0.0000  0.5000  0.5000
H  0.5000  0.0000  0.5000
Ru  0.5000  0.5000  0.0000
O  0.5000  0.5000  0.5000

[2]
First-principles (PBE) data for an optimized crystal structure of CsHSO4, as listed in Alexandria.

## Properties
Crystal system   monoclinic
Density   3.1 g/cm³
Volume   17.50 Å³/atom
Energy above the most stable polymorph in this dataset   0.0 meV/atom
DOS at the Fermi energy   0.000 states/eV per atom

Unit cell a=8.3909 b=5.9701 c=11.3020 alpha=90.00 beta=120.06 gamma=90.00
Fractional coordinates of all 28 atoms:
Cs  0.2141  0.2393  0.3490
Cs  0.2141  0.2607  0.8490
Cs  0.7859  0.7393  0.1510
Cs  0.7859  0.7607  0.6510
H  0.4675  0.5073  0.7174
H  0.4675  0.9927  0.2174
H  0.5325  0.0073  0.7826
H  0.5325  0.4927  0.2826
S  0.2588  0.7366  0.0993
S  0.2588  0.7634  0.5993
S  0.7412  0.2366  0.4007
S  0.7412  0.2634  0.9007
O  0.1174  0.7374  0.9556
O  0.1174  0.7626  0.4556
O  0.1935  0.7498  0.1973
O  0.1935  0.7502  0.6973
O  0.3740  0.5399  0.6162
O  0.3740  0.9601  0.1162
O  0.3914  0.5477  0.1317
O  0.3914  0.9523  0.6317
O  0.6086  0.0477  0.3683
O  0.6086  0.4523  0.8683
O  0.6260  0.0399  0.8838
O  0.6260  0.4601  0.3838
O  0.8065  0.2498  0.3027
O  0.8065  0.2502  0.8027
O  0.8826  0.2374  0.5444
O  0.8826  0.2626  0.0444